1.
A relaxed structure of CaTm2PaSb4, computed with PBE.

Its uncorrected formation energy is -890 meV per atom. The calculation puts the magnetic moment at 0.6 μB per formula unit. Its volume is 238.38 Å³/f.u. The calculation puts the total energy at -44.05 eV for the cell shown.

The space group is P2/m (No. 10) and the conventional cell measures 7.576, 4.381 and 7.598 Å, with angles of 90.00, 109.06 and 90.00 degrees. The asymmetric unit holds Ca at (0.000, 0.000, 0.000), Tm at (0.500, 0.000, 0.500), Tm at (0.500, 0.500, 0.000), Pa at (0.000, 0.500, 0.500), Sb at (0.254, 0.000, 0.748) and Sb at (0.255, 0.500, 0.259).

=====

2.
A relaxed structure of Ca2TmPaSb4, computed with PBE.

Its uncorrected formation energy is -885 meV per atom. The calculation puts the magnetic moment at 0.1 μB per formula unit. Its volume is 248.76 Å³/f.u. The calculation puts the total energy at -41.54 eV for the cell shown.

The space group is P2/m (No. 10) and the conventional cell measures 7.626, 4.461 and 7.747 Å, with angles of 90.00, 109.27 and 90.00 degrees. The asymmetric unit holds Ca at (0.000, 0.000, 0.000), Ca at (0.500, 0.500, 0.000), Tm at (0.000, 0.500, 0.500), Pa at (0.500, 0.000, 0.500), Sb at (0.249, 0.000, 0.734) and Sb at (0.258, 0.500, 0.266).